Entry from Alexandria via LeMat-Bulk: a geometry-optimized Ho2ThAl6 structure (PBE-GGA).

Calculated values
**Space group**: Immm
**Formation enthalpy at 0 K**: -1.92 eV per formula unit
**Crystal system**: orthorhombic
**Distance to the lowest polymorph of the same formula**: 240 meV per atom

Cell lengths 4.3400, 7.9520, 7.9520 Å; angles 53.98, 74.16, 74.16 degrees
Closest atoms and distances in Å follow each position.
Element x y z (fractional)
Ho 0.3753 0.1247 0.1247  10 Al 2.94-3.21
Ho 0.6247 0.8753 0.8753  10 Al 2.94-3.21
Th 0.5000 0.5000 0.5000  4 Al 3.16
Al 0.1827 0.5090 0.1256  2 Al 2.63-2.77
Al 0.8173 0.4910 0.8744  2 Al 2.63-2.77
Al 0.8173 0.8744 0.4910  2 Al 2.63-2.77
Al 0.0000 0.1823 0.8177  3 Al 2.63
Al 0.0000 0.8177 0.1823  3 Al 2.63
Al 0.1827 0.1256 0.5090  2 Al 2.63-2.77